Below is Pm2NdMg2In2 after structural relaxation, with properties calculated at the GGA-PBE level.

Summary:
Formation energy, kJ per mole of atoms: -21
Symmetry: No. 166
Volume, Å³/cell: 197.90

extended XYZ file:
```
7
Lattice="5.0468 0.0000 0.0000 2.5234 4.3706 0.0000 2.5234 1.4569 8.9718" Properties=species:S:1:pos:R:3 pbc="T T T"
Mg 7.5701 4.3706 7.1973
Mg 2.5234 1.4569 1.7745
Pm 7.5701 4.3706 3.4847
Pm 2.5234 1.4569 5.4871
Nd 0.0000 0.0000 0.0000
In 5.0468 2.9137 7.1126
In 5.0468 2.9137 1.8592
```

Below is Tl3Co2AgCl8 after structural relaxation, with properties calculated at the GGA-PBE level.

Summary:
Symmetry: No. 164
Volume, Å³/cell: 408.41
E_form (uncorrected), eV per atom: -0.726

extended XYZ file:
```
14
Lattice="7.2277 0.0000 0.0000 -3.6139 6.2594 0.0000 0.0000 0.0000 9.0274" Properties=species:S:1:pos:R:3 pbc="T T T"
Cl 5.4271 1.0396 6.2895
Cl 1.8132 5.2198 2.7379
Cl 0.0000 4.1729 8.7033
Cl 3.6139 2.0865 0.3241
Cl 1.8006 1.0396 6.2895
Cl 0.0000 2.0792 2.7379
Cl 3.6139 4.1802 6.2895
Cl -1.8132 5.2198 2.7379
Ag 0.0000 0.0000 4.5137
Co 3.6139 2.0865 7.1369
Co 0.0000 4.1729 1.8906
Tl 3.6139 2.0865 3.2865
Tl 0.0000 0.0000 0.0000
Tl 0.0000 4.1729 5.7410
```

Below is Al2PBr after structural relaxation, with properties calculated at the GGA-PBE level.

Summary:
Symmetry: No. 166
Volume, Å³/cell: 82.74
E_form (uncorrected), eV per atom: -0.195
E above lowest polymorph, meV per atom: 67.8

extended XYZ file:
```
4
Lattice="-6.3409 0.5210 3.1386 -6.1654 -2.9986 1.8237 -4.4854 -2.1185 5.0718" Properties=species:S:1:pos:R:3 pbc="T T T"
P -12.7438 -3.4471 7.5256
Br -4.2479 -1.1490 2.5085
Al -8.1814 -2.2130 4.8314
Al -0.3144 -0.0851 0.1857
```

Below is LaNdSnO after structural relaxation, with properties calculated at the GGA-PBE level.

Summary:
Symmetry: No. 44
Volume, Å³/cell: 104.84
E_form (uncorrected), eV per atom: -1.772

extended XYZ file:
```
4
Lattice="3.8592 0.0000 0.0000 0.0000 3.8000 -0.0069 -1.9296 -1.8877 7.1525" Properties=species:S:1:pos:R:3 pbc="T T T"
La 1.9296 -0.1472 6.7961
Nd 1.9296 -0.1542 2.4332
O 1.9296 1.7432 1.0111
Sn 0.0000 1.7492 4.5502
```

Below is Ba6HgAu4 after structural relaxation, with properties calculated at the GGA-PBE level.

Summary:
Formation energy, kJ per mole of atoms: -56
Symmetry: No. 8
Volume, Å³/cell: 431.82

extended XYZ file:
```
11
Lattice="0.0761 -2.6078 -6.1427 -5.0011 -4.1421 1.5455 -3.9394 10.0564 -0.5957" Properties=species:S:1:pos:R:3 pbc="T T T"
Au -3.3504 6.4438 -0.9272
Au -2.9370 -1.1504 -5.0216
Au -5.4906 -1.9222 -1.1549
Au -5.8006 3.0957 -3.2124
Ba -5.9343 -2.6495 -4.4460
Ba -2.7953 4.6320 -3.7677
Ba -8.8283 4.5128 -2.0851
Ba -3.5261 0.6584 -2.1967
Ba -6.2833 5.2818 -5.9387
Ba -5.3422 3.8624 0.0890
Hg -0.4356 0.4463 -0.1986
```

Below is Zr2TiBe after structural relaxation, with properties calculated at the GGA-PBE level.

Summary:
Formation energy, kJ per mole of atoms: 5
Symmetry: No. 123
Volume, Å³/cell: 72.21

extended XYZ file:
```
4
Lattice="-0.8431 3.9172 0.2043 -4.0885 -0.9148 0.6675 0.6983 -0.0680 4.1841" Properties=species:S:1:pos:R:3 pbc="T T T"
Zr -2.0443 -0.4574 0.3337
Zr 0.3491 -0.0340 2.0920
Be -2.1167 1.4672 2.5279
Ti -0.4215 1.9586 0.1022
```

Below is CaZn2CuO4 after structural relaxation, with properties calculated at the GGA-PBE level.

Summary:
Symmetry: No. 63
Volume, Å³/cell: 185.17
E_form (uncorrected), eV per atom: -1.377

extended XYZ file:
```
16
Lattice="3.0796 0.0000 0.0000 -1.5398 5.3814 0.0000 0.0000 0.0000 11.1730" Properties=species:S:1:pos:R:3 pbc="T T T"
Ca 0.0000 1.5441 8.3798
Ca 1.5398 3.8373 2.7933
Cu 0.0000 1.2893 2.7933
Cu 1.5398 4.0921 8.3798
O 0.0000 5.2197 8.3798
O 0.0000 2.6803 1.3041
O 1.5398 0.1617 2.7933
O 0.0000 0.0000 0.0000
O 0.0000 0.0000 5.5865
O 0.0000 2.6803 4.2824
O 1.5398 2.7012 9.8689
O 1.5398 2.7012 6.8906
Zn 0.0000 3.9958 10.8484
Zn 1.5398 1.3856 0.3246
Zn 1.5398 1.3856 5.2619
Zn 0.0000 3.9958 5.9111
```

Below is AsPb2Se after structural relaxation, with properties calculated at the GGA-PBE level.

Summary:
Symmetry: No. 119
Volume, Å³/cell: 108.09
E_form (uncorrected), eV per atom: 0.033
E above lowest polymorph, meV per atom: 239.8

extended XYZ file:
```
4
Lattice="6.5100 -0.0444 0.0000 3.6555 5.3870 0.0000 -5.0828 -2.6713 3.0679" Properties=species:S:1:pos:R:3 pbc="T T T"
As 3.2550 -0.0222 1.5340
Se 5.0828 2.6713 0.0000
Pb 0.0000 0.0000 0.0000
Pb 1.8278 2.6935 1.5340
```

Below is SrUPdS3 after structural relaxation, with properties calculated at the GGA-PBE level.

Summary:
Symmetry: No. 11
Volume, Å³/cell: 276.79
E_form (uncorrected), eV per atom: -1.391

extended XYZ file:
```
12
Lattice="3.9676 0.0000 0.0000 0.0000 8.2173 -0.0695 0.0000 -2.2348 8.5084" Properties=species:S:1:pos:R:3 pbc="T T T"
U 2.9757 0.7919 7.0521
U 0.9919 5.1907 1.3868
Pd 0.9919 -0.3663 4.9129
Pd 2.9757 6.3489 3.5259
Sr 2.9757 4.9353 6.3946
Sr 0.9919 1.0473 2.0442
S 0.9919 5.0469 4.0189
S 0.9919 2.7400 7.1518
S 2.9757 7.0682 1.0862
S 0.9919 -1.0856 7.3526
S 2.9757 0.9357 4.4200
S 2.9757 3.2426 1.2870
```

Below is NdCdAs2O8 after structural relaxation, with properties calculated at the GGA-PBE level.

Summary:
Symmetry: No. 119
Volume, Å³/cell: 174.88
E_form (uncorrected), eV per atom: -1.600

extended XYZ file:
```
12
Lattice="6.1219 0.0175 0.0000 -2.6995 5.4946 0.0000 -1.7112 -2.7561 5.1917" Properties=species:S:1:pos:R:3 pbc="T T T"
O 4.4343 0.4490 1.6613
O 0.3317 2.3026 0.9328
O 1.6876 -0.4314 1.6613
O 3.0907 3.2095 0.9328
O -0.2054 1.4375 4.2589
O 0.2054 -1.4375 4.2589
O 2.8464 1.4349 3.5304
O 3.2755 -1.4173 3.5304
Cd -1.3497 2.7473 2.5958
As 1.7112 2.7561 0.0000
As 3.0609 0.0088 2.5958
Nd 0.0000 0.0000 0.0000
```

Below is TbSm2Y2 after structural relaxation, with properties calculated at the GGA-PBE level.

Summary:
Formation energy, kJ per mole of atoms: 1
Symmetry: No. 15
Volume, Å³/cell: 332.41
E above lowest polymorph, meV per atom: 0.0

extended XYZ file:
```
10
Lattice="5.8614 0.0000 2.4098 1.2059 6.5113 5.4002 -0.5055 1.4087 9.5629" Properties=species:S:1:pos:R:3 pbc="T T T"
Sm 5.0643 6.0830 14.0826
Sm 3.7289 2.1230 6.1960
Sm 2.8329 5.7969 11.1768
Sm 1.4975 1.8369 3.2903
Y 1.9580 4.9733 4.9712
Y 0.1173 2.4220 6.6476
Y 6.4445 5.4980 10.7253
Y 4.6038 2.9467 12.4017
Tb 2.3720 2.6843 9.5294
Tb 4.1898 5.2357 7.8435
```

Below is PaNiSe3 after structural relaxation, with properties calculated at the GGA-PBE level.

Summary:
Symmetry: No. 63
Volume, Å³/cell: 227.45
E_form (uncorrected), eV per atom: -0.937
E above lowest polymorph, meV per atom: 0.0

extended XYZ file:
```
10
Lattice="-2.8113 1.4897 2.3192 -0.3323 -6.5050 0.4294 5.9585 0.1654 7.1167" Properties=species:S:1:pos:R:3 pbc="T T T"
Se -2.0053 0.0582 2.5454
Se 3.1520 -1.5384 6.4788
Se 0.1199 0.1172 5.0837
Se 2.6949 -4.9671 4.7816
Se 4.8201 -4.9081 7.3200
Se -0.3371 -3.3115 3.3865
Pa 2.3209 1.1095 7.1130
Pa 0.4939 -5.9594 2.7523
Ni 4.2222 -3.3924 5.6258
Ni -1.4074 -1.4574 4.2395
```